Below is an optimized crystal structure of SrZr2Cu2, with properties calculated at the PBE level.

Summary:
The value obtained for the excess energy over the best structure of this formula in the dataset is 38 meV/atom.

POSCAR file:
```
SrZr2Cu2
1.0
8.284 0.000 0.000
0.000 8.284 0.000
0.000 0.000 3.106
Cu Zr Sr
4 4 2
direct
0.372 0.872 0.000
0.628 0.128 0.000
0.128 0.372 0.000
0.872 0.628 0.000
0.657 0.843 0.500
0.157 0.657 0.500
0.843 0.343 0.500
0.343 0.157 0.500
0.500 0.500 0.000
0.000 0.000 0.000
```